First-principles (GGA-PBE) data for Na2TeSe2 after structural relaxation, as listed in the Alexandria database.

CIF file:
```
data_Na2TeSe2
_cell_length_a 5.8711
_cell_length_b 5.8711
_cell_length_c 8.1213
_cell_angle_alpha 90.00
_cell_angle_beta 90.00
_cell_angle_gamma 90.00
_space_group_name_H-M_alt 'I 4/m m m'
_space_group_IT_number 139
_space_group_name_Hall '-I 4 2'
loop_
_atom_site_label
_atom_site_type_symbol
_atom_site_fract_x
_atom_site_fract_y
_atom_site_fract_z
_atom_site_occupancy
Na1 Na 0.0000 0.5000 0.2500 1
Te1 Te 0.0000 0.0000 0.0000 1
Se1 Se 0.0000 0.0000 0.3401 1
```

Properties
Energy above the most stable polymorph in this dataset ... 111 meV per atom
ΔE_f (raw) ... -509.3 meV/atom
Raw total energy ... -30.59 eV per cell

=====

First-principles (GGA-PBE) data for Na4TlTe3Se8 after structural relaxation, as listed in the Alexandria database.

CIF file:
```
data_Na4TlTe3Se8
_cell_length_a 14.9888
_cell_length_b 8.2415
_cell_length_c 8.4784
_cell_angle_alpha 90.00
_cell_angle_beta 121.61
_cell_angle_gamma 90.00
_space_group_name_H-M_alt 'C 1 2/m 1'
_space_group_IT_number 12
_space_group_name_Hall '-C 2y'
loop_
_atom_site_label
_atom_site_type_symbol
_atom_site_fract_x
_atom_site_fract_y
_atom_site_fract_z
_atom_site_occupancy
Na1 Na 0.0000 0.0000 0.0000 1
Na2 Na 0.0000 0.5000 0.0000 1
Na3 Na 0.2500 0.2500 0.5000 1
Tl1 Tl 0.0000 0.0000 0.5000 1
Te1 Te 0.0000 0.5000 0.5000 1
Te2 Te 0.2500 0.2500 0.0000 1
Se1 Se 0.0244 0.2709 0.7624 1
Se2 Se 0.2234 0.0000 0.1998 1
Se3 Se 0.2415 0.5000 0.2267 1
```

Properties
ΔE_f (raw) ... -434.0 meV/atom
Raw total energy ... -103.77 eV per cell

=====

First-principles (GGA-PBE) data for Na2TlTeSe after structural relaxation, as listed in the Alexandria database.

CIF file:
```
data_Na2TlTeSe
_cell_length_a 5.3780
_cell_length_b 5.3780
_cell_length_c 5.5845
_cell_angle_alpha 90.00
_cell_angle_beta 90.00
_cell_angle_gamma 90.00
_space_group_name_H-M_alt 'P 4/m m m'
_space_group_IT_number 123
_space_group_name_Hall '-P 4 2'
loop_
_atom_site_label
_atom_site_type_symbol
_atom_site_fract_x
_atom_site_fract_y
_atom_site_fract_z
_atom_site_occupancy
Na1 Na 0.0000 0.5000 0.0000 1
Tl1 Tl 0.0000 0.0000 0.5000 1
Te1 Te 0.5000 0.5000 0.5000 1
Se1 Se 0.0000 0.0000 0.0000 1
```

Properties
ΔE_f (raw) ... -533.8 meV/atom
Raw total energy ... -14.30 eV per cell

=====

First-principles (GGA-PBE) data for NaTl2TeSe after structural relaxation, as listed in the Alexandria database.

CIF file:
```
data_NaTl2TeSe
_cell_length_a 5.6977
_cell_length_b 5.6977
_cell_length_c 5.7887
_cell_angle_alpha 90.00
_cell_angle_beta 90.00
_cell_angle_gamma 90.00
_space_group_name_H-M_alt 'P 4 m m'
_space_group_IT_number 99
_space_group_name_Hall 'P 4 -2'
loop_
_atom_site_label
_atom_site_type_symbol
_atom_site_fract_x
_atom_site_fract_y
_atom_site_fract_z
_atom_site_occupancy
Na1 Na 0.0000 0.0000 0.0000 1
Tl1 Tl 0.0000 0.5000 0.3706 1
Te1 Te 0.5000 0.5000 0.0873 1
Se1 Se 0.0000 0.0000 0.5171 1
```

Properties
ΔE_f (raw) ... -360.7 meV/atom
Raw total energy ... -14.48 eV per cell

=====

First-principles (GGA-PBE) data for NaTl2TeSe4 after structural relaxation, as listed in the Alexandria database.

CIF file:
```
data_NaTl2TeSe4
_cell_length_a 8.5336
_cell_length_b 8.5824
_cell_length_c 12.1566
_cell_angle_alpha 90.00
_cell_angle_beta 90.00
_cell_angle_gamma 90.00
_space_group_name_H-M_alt 'I m m a'
_space_group_IT_number 74
_space_group_name_Hall '-I 2b 2'
loop_
_atom_site_label
_atom_site_type_symbol
_atom_site_fract_x
_atom_site_fract_y
_atom_site_fract_z
_atom_site_occupancy
Na1 Na 0.0000 0.0000 0.0000 1
Tl1 Tl 0.0000 0.0000 0.5000 1
Tl2 Tl 0.2500 0.2500 0.2500 1
Te1 Te 0.2500 0.2500 0.7500 1
Se1 Se 0.0000 0.0245 0.7561 1
Se2 Se 0.2475 0.2500 0.9834 1
```

Properties
ΔE_f (raw) ... -357.0 meV/atom
Raw total energy ... -103.95 eV per cell

=====

First-principles (GGA-PBE) data for Na2Tl3TeSe6 after structural relaxation, as listed in the Alexandria database.

CIF file:
```
data_Na2Tl3TeSe6
_cell_length_a 7.4440
_cell_length_b 12.6745
_cell_length_c 7.2900
_cell_angle_alpha 90.00
_cell_angle_beta 110.53
_cell_angle_gamma 90.00
_space_group_name_H-M_alt 'C 1 2/m 1'
_space_group_IT_number 12
_space_group_name_Hall '-C 2y'
loop_
_atom_site_label
_atom_site_type_symbol
_atom_site_fract_x
_atom_site_fract_y
_atom_site_fract_z
_atom_site_occupancy
Na1 Na 0.0000 0.1623 0.0000 1
Tl1 Tl 0.0000 0.0000 0.5000 1
Tl2 Tl 0.0000 0.3264 0.5000 1
Te1 Te 0.0000 0.5000 0.0000 1
Se1 Se 0.2272 0.5000 0.7543 1
Se2 Se 0.2428 0.3396 0.2360 1
```

Properties
ΔE_f (raw) ... -404.9 meV/atom
Raw total energy ... -77.29 eV per cell

=====

First-principles (GGA-PBE) data for NaTl2Te2Se4 after structural relaxation, as listed in the Alexandria database.

CIF file:
```
data_NaTl2Te2Se4
_cell_length_a 17.9497
_cell_length_b 5.1865
_cell_length_c 6.8266
_cell_angle_alpha 90.00
_cell_angle_beta 101.75
_cell_angle_gamma 90.00
_space_group_name_H-M_alt 'C 1 2/m 1'
_space_group_IT_number 12
_space_group_name_Hall '-C 2y'
loop_
_atom_site_label
_atom_site_type_symbol
_atom_site_fract_x
_atom_site_fract_y
_atom_site_fract_z
_atom_site_occupancy
Na1 Na 0.0000 0.0000 0.0000 1
Tl1 Tl 0.1307 0.0000 0.5385 1
Te1 Te 0.1768 0.5000 0.1623 1
Se1 Se 0.0522 0.5000 0.3001 1
Se2 Se 0.1652 0.0000 0.0319 1
```

Properties
ΔE_f (raw) ... -301.2 meV/atom
Raw total energy ... -57.97 eV per cell

=====

First-principles (GGA-PBE) data for Na3Tm2TeSe6 after structural relaxation, as listed in the Alexandria database.

CIF file:
```
data_Na3Tm2TeSe6
_cell_length_a 7.1314
_cell_length_b 12.6173
_cell_length_c 7.3730
_cell_angle_alpha 90.00
_cell_angle_beta 108.48
_cell_angle_gamma 90.00
_space_group_name_H-M_alt 'C 1 2/m 1'
_space_group_IT_number 12
_space_group_name_Hall '-C 2y'
loop_
_atom_site_label
_atom_site_type_symbol
_atom_site_fract_x
_atom_site_fract_y
_atom_site_fract_z
_atom_site_occupancy
Na1 Na 0.0000 0.0000 0.0000 1
Na2 Na 0.0000 0.3409 0.0000 1
Tm1 Tm 0.0000 0.1706 0.5000 1
Te1 Te 0.0000 0.5000 0.5000 1
Se1 Se 0.2393 0.0000 0.7180 1
Se2 Se 0.2462 0.1739 0.2647 1
```

Properties
ΔE_f (raw) ... -1190.1 meV/atom
Raw total energy ... -102.46 eV per cell

=====

First-principles (GGA-PBE) data for Na2UTeSe5 after structural relaxation, as listed in the Alexandria database.

CIF file:
```
data_Na2UTeSe5
_cell_length_a 4.0931
_cell_length_b 17.4421
_cell_length_c 14.6934
_cell_angle_alpha 90.00
_cell_angle_beta 90.00
_cell_angle_gamma 90.00
_space_group_name_H-M_alt 'C m c 21'
_space_group_IT_number 36
_space_group_name_Hall 'C 2c -2'
loop_
_atom_site_label
_atom_site_type_symbol
_atom_site_fract_x
_atom_site_fract_y
_atom_site_fract_z
_atom_site_occupancy
Na1 Na 0.0000 0.0778 0.0000 1
Na2 Na 0.0000 0.1347 0.6641 1
U1 U 0.0000 0.2333 0.4102 1
Te1 Te 0.0000 0.4577 0.7867 1
Se1 Se 0.0000 0.0891 0.4571 1
Se2 Se 0.0000 0.2443 0.0348 1
Se3 Se 0.0000 0.3007 0.7779 1
Se4 Se 0.0000 0.3767 0.3442 1
Se5 Se 0.0000 0.4980 0.1242 1
```

Properties
ΔE_f (raw) ... -744.1 meV/atom
Raw total energy ... -164.75 eV per cell

=====

First-principles (GGA-PBE) data for NaUTeSe after structural relaxation, as listed in the Alexandria database.

CIF file:
```
data_NaUTeSe
_cell_length_a 4.2359
_cell_length_b 4.2359
_cell_length_c 22.3389
_cell_angle_alpha 90.00
_cell_angle_beta 90.00
_cell_angle_gamma 120.00
_space_group_name_H-M_alt 'R 3 m'
_space_group_IT_number 160
_space_group_name_Hall 'R 3 -2"'
loop_
_atom_site_label
_atom_site_type_symbol
_atom_site_fract_x
_atom_site_fract_y
_atom_site_fract_z
_atom_site_occupancy
Na1 Na 0.0000 0.0000 0.0000 1
U1 U 0.0000 0.0000 0.5122 1
Te1 Te 0.0000 0.0000 0.7599 1
Se1 Se 0.0000 0.0000 0.2508 1
```

Properties
ΔE_f (raw) ... -970.3 meV/atom
Raw total energy ... -69.34 eV per cell

=====

First-principles (GGA-PBE) data for Na4U3TeSe8 after structural relaxation, as listed in the Alexandria database.

CIF file:
```
data_Na4U3TeSe8
_cell_length_a 15.0744
_cell_length_b 8.2451
_cell_length_c 8.4143
_cell_angle_alpha 90.00
_cell_angle_beta 122.41
_cell_angle_gamma 90.00
_space_group_name_H-M_alt 'C 1 2/m 1'
_space_group_IT_number 12
_space_group_name_Hall '-C 2y'
loop_
_atom_site_label
_atom_site_type_symbol
_atom_site_fract_x
_atom_site_fract_y
_atom_site_fract_z
_atom_site_occupancy
Na1 Na 0.0000 0.0000 0.0000 1
Na2 Na 0.0000 0.5000 0.0000 1
Na3 Na 0.2500 0.2500 0.0000 1
U1 U 0.0000 0.0000 0.5000 1
U2 U 0.2500 0.2500 0.5000 1
Te1 Te 0.0000 0.5000 0.5000 1
Se1 Se 0.0174 0.2542 0.2806 1
Se2 Se 0.2179 0.0000 0.2389 1
Se3 Se 0.2337 0.0000 0.7288 1
```

Properties
ΔE_f (raw) ... -974.3 meV/atom
Raw total energy ... -171.49 eV per cell

=====

First-principles (GGA-PBE) data for NaYTeSe after structural relaxation, as listed in the Alexandria database.

CIF file:
```
data_NaYTeSe
_cell_length_a 4.2823
_cell_length_b 4.2823
_cell_length_c 21.9325
_cell_angle_alpha 90.00
_cell_angle_beta 90.00
_cell_angle_gamma 120.00
_space_group_name_H-M_alt 'R 3 m'
_space_group_IT_number 160
_space_group_name_Hall 'R 3 -2"'
loop_
_atom_site_label
_atom_site_type_symbol
_atom_site_fract_x
_atom_site_fract_y
_atom_site_fract_z
_atom_site_occupancy
Na1 Na 0.0000 0.0000 0.0000 1
Y1 Y 0.0000 0.0000 0.5116 1
Te1 Te 0.0000 0.0000 0.7610 1
Se1 Se 0.0000 0.0000 0.2481 1
```

Properties
ΔE_f (raw) ... -1510.7 meV/atom
Raw total energy ... -61.36 eV per cell

=====

Which value of ΔE_f (raw) does entry 11 give?
-974.3 meV/atom